No. 1
## DySc3Sn3 (GGA-PBE)

Data for a relaxed DySc3Sn3 crystal.

Unit cell a=8.6896 b=8.6896 c=5.2079 alpha=90.00 beta=90.00 gamma=120.00
With the nearest neighbours (Å) after each atom.
Space group P6_3/m (No. 176)
Inequivalent atoms, fractional coordinates:
Dy (0.3333, 0.6667, 0.2500) [2 per cell]  9 Sn 3.18-3.35, 3 Sc 3.40
Sc (0.0094, 0.7773, 0.2500) [6 per cell]  3 Sn 2.87-3.08
Sn (0.0752, 0.6303, 0.7500) [6 per cell]  3 Sc 2.87-3.08, 1 Dy 3.18

Calculated values
For the volume, the calculation gives 24.33 Å³/atom. The electronic total energy is -0.2061 Ha/atom.

No. 2
## DyScSn2 (GGA-PBE)

Data for a relaxed DyScSn2 crystal.

Unit cell a=4.7415 b=4.7415 c=4.3728 alpha=90.00 beta=90.00 gamma=90.00
With the nearest neighbours (Å) after each atom.
Space group P4/mmm (No. 123)
Inequivalent atoms, fractional coordinates:
Dy (0.0000, 0.0000, 0.0000) [1 per cell]  8 Sn 3.23, 4 Sc 3.35
Sc (0.5000, 0.5000, 0.0000) [1 per cell]  8 Sn 3.23, 4 Dy 3.35
Sn (0.0000, 0.5000, 0.5000) [2 per cell]  4 Dy 3.23, 4 Sc 3.23, 4 Sn 3.35

Calculated values
For the volume, the calculation gives 24.58 Å³/atom. The electronic total energy is -0.1950 Ha/atom.

No. 3
## DySc5Sn3 (GGA-PBE)

Data for a relaxed DySc5Sn3 crystal.

Unit cell a=8.8076 b=8.8076 c=6.2699 alpha=90.00 beta=90.00 gamma=120.00
With the nearest neighbours (Å) after each atom.
Space group P6_3/mcm (No. 193)
Inequivalent atoms, fractional coordinates:
Dy (0.0000, 0.0000, 0.0000) [2 per cell]  2 Dy 3.13, 6 Sc 3.35, 6 Sn 3.35
Sc (0.0000, 0.3358, 0.2500) [6 per cell]  5 Sn 2.89-3.13
Sc (0.3333, 0.6667, 0.0000) [4 per cell]  8 Sc 3.13-3.32, 6 Sn 3.32
Sn (0.0000, 0.3361, 0.7500) [6 per cell]  5 Sc 2.89-3.13

Calculated values
For the volume, the calculation gives 23.40 Å³/atom. The electronic total energy is -0.2177 Ha/atom.

No. 4
## DySc8Sn6 (GGA-PBE)

Data for a relaxed DySc8Sn6 crystal.

Unit cell a=8.5875 b=8.5875 c=18.4739 alpha=90.00 beta=90.00 gamma=120.00
With the nearest neighbours (Å) after each atom.
Space group R-3 (No. 148, hexagonal axes)
Inequivalent atoms, fractional coordinates:
Dy (0.0000, 0.0000, 0.0000) [3 per cell]  6 Sn 3.18, 6 Sc 3.45
Sc (0.0000, 0.0000, 0.3331) [6 per cell]  6 Sn 3.11, 6 Sc 3.47-3.48
Sc (0.0002, 0.3311, 0.1058) [18 per cell]  5 Sn 2.91-3.23
Sn (0.9999, 0.3398, 0.9311) [18 per cell]  7 Sc 2.91-3.23, 1 Dy 3.18

Calculated values
For the volume, the calculation gives 26.22 Å³/atom. The electronic total energy is -0.2113 Ha/atom.

No. 5
## Dy8Sc2Sn (GGA-PBE)

Data for a relaxed Dy8Sc2Sn crystal.

Unit cell a=17.5989 b=4.8437 c=7.7799 alpha=90.00 beta=105.88 gamma=90.00
With the nearest neighbours (Å) after each atom.
Space group C2/m (No. 12)
Inequivalent atoms, fractional coordinates:
Dy (0.0454, 0.0000, 0.2267) [4 per cell]  1 Sc 3.42, 9 Dy 3.42-3.52, 2 Sn 3.46
Dy (0.0937, 0.5000, 0.9450) [4 per cell]  3 Sc 3.37-3.42, 8 Dy 3.39-3.63, 1 Sn 3.40
Dy (0.1383, 0.0000, 0.6837) [4 per cell]  7 Dy 3.39-3.49, 3 Sc 3.39-3.45, 2 Sn 3.45
Dy (0.1810, 0.5000, 0.4088) [4 per cell]  8 Dy 3.42-3.51, 1 Sn 3.45, 3 Sc 3.46-3.51
Sc (0.2237, 0.0000, 0.1310) [4 per cell]  10 Dy 3.37-3.51, 2 Sc 3.45
Sn (0.0000, 0.5000, 0.5000) [2 per cell]  12 Dy 3.40-3.46

Calculated values
For the volume, the calculation gives 28.99 Å³/atom. The electronic total energy is -0.1828 Ha/atom.

No. 6
## DyScTlSn (GGA-PBE)

Data for a relaxed DyScTlSn crystal.

Unit cell a=7.3960 b=7.3960 c=7.3960 alpha=90.00 beta=90.00 gamma=90.00
With the nearest neighbours (Å) after each atom.
Space group F-43m (No. 216)
Inequivalent atoms, fractional coordinates:
Dy (0.0000, 0.0000, 0.0000) [4 per cell]  4 Sn 3.20, 4 Tl 3.20
Sc (0.0000, 0.0000, 0.5000) [4 per cell]  4 Tl 3.20, 4 Sn 3.20
Tl (0.2500, 0.2500, 0.2500) [4 per cell]  4 Dy 3.20, 4 Sc 3.20
Sn (0.2500, 0.2500, 0.7500) [4 per cell]  4 Sc 3.20, 4 Dy 3.20

Calculated values
For the volume, the calculation gives 25.29 Å³/atom. The electronic total energy is -0.1734 Ha/atom.

No. 7
## SrDy2Sc (GGA-PBE)

Data for a relaxed SrDy2Sc crystal.

Unit cell a=3.8847 b=3.8847 c=9.1886 alpha=90.00 beta=90.00 gamma=90.00
With the nearest neighbours (Å) after each atom.
Space group P4/mmm (No. 123)
Inequivalent atoms, fractional coordinates:
Sr (0.0000, 0.0000, 0.0000) [1 per cell]  4 Sr 3.88, 8 Dy 3.94
Dy (0.5000, 0.5000, 0.3074) [2 per cell]  4 Sc 3.27, 1 Dy 3.54
Sc (0.0000, 0.0000, 0.5000) [1 per cell]  8 Dy 3.27

Calculated values
For the volume, the calculation gives 34.67 Å³/atom. The electronic total energy is -0.1540 Ha/atom. As for the distance to the lowest polymorph of the same formula: 0.000 kcal/mol of atoms.

No. 8
## SrDy2Sc (GGA-PBE)

Data for a relaxed SrDy2Sc crystal.

Unit cell a=3.5430 b=3.5430 c=37.3009 alpha=90.00 beta=90.00 gamma=120.00
With the nearest neighbours (Å) after each atom.
Space group R-3m (No. 166, hexagonal axes)
Inequivalent atoms, fractional coordinates:
Sr (0.0000, 0.0000, 0.0000) [3 per cell]  6 Sr 3.54, 2 Dy 3.57
Dy (0.0000, 0.0000, 0.0957) [6 per cell]  3 Sc 3.34, 6 Dy 3.54, 1 Sr 3.57
Sc (0.0000, 0.0000, 0.5000) [3 per cell]  6 Dy 3.34, 6 Sc 3.54

Calculated values
For the volume, the calculation gives 33.79 Å³/atom. The electronic total energy is -0.1487 Ha/atom. As for the distance to the lowest polymorph of the same formula: 3.323 kcal/mol of atoms.

No. 9
## DyScTa (GGA-PBE)

Data for a relaxed DyScTa crystal.

Unit cell a=5.5557 b=7.6885 c=14.1363 alpha=90.00 beta=90.00 gamma=90.00
With the nearest neighbours (Å) after each atom.
Space group Fmmm (No. 69)
Inequivalent atoms, fractional coordinates:
Dy (0.2500, 0.2500, 0.2500) [8 per cell]  2 Dy 2.78
Sc (0.0000, 0.0000, 0.0936) [8 per cell]  1 Sc 2.64, 2 Ta 2.90
Ta (0.0000, 0.1645, 0.5000) [8 per cell]  1 Ta 2.53

Calculated values
For the volume, the calculation gives 25.16 Å³/atom. The electronic total energy is -0.2560 Ha/atom.

No. 10
## DySc2Ta (GGA-PBE)

Data for a relaxed DySc2Ta crystal.

Unit cell a=3.6948 b=3.6948 c=6.9682 alpha=90.00 beta=90.00 gamma=90.00
With the nearest neighbours (Å) after each atom.
Space group P4/mmm (No. 123)
Inequivalent atoms, fractional coordinates:
Dy (0.0000, 0.0000, 0.0000) [1 per cell]  8 Sc 3.31, 2 Ta 3.48, 4 Dy 3.69
Sc (0.5000, 0.5000, 0.2921) [2 per cell]  1 Sc 2.90, 4 Ta 2.99
Ta (0.0000, 0.0000, 0.5000) [1 per cell]  8 Sc 2.99

Calculated values
For the volume, the calculation gives 23.78 Å³/atom. The electronic total energy is -0.2594 Ha/atom. As for the distance to the lowest polymorph of the same formula: 0.525 kcal/mol of atoms.

No. 11
## DySc2Ta (GGA-PBE)

Data for a relaxed DySc2Ta crystal.

Unit cell a=3.1901 b=3.1901 c=32.2009 alpha=90.00 beta=90.00 gamma=120.00
With the nearest neighbours (Å) after each atom.
Space group R-3m (No. 166, hexagonal axes)
Inequivalent atoms, fractional coordinates:
Dy (0.0000, 0.0000, 0.0000) [3 per cell]  6 Dy 3.19, 6 Sc 3.49
Sc (0.0000, 0.0000, 0.2412) [6 per cell]  3 Ta 3.03, 6 Sc 3.19
Ta (0.0000, 0.0000, 0.5000) [3 per cell]  6 Sc 3.03, 6 Ta 3.19

Calculated values
For the volume, the calculation gives 23.65 Å³/atom. The electronic total energy is -0.2602 Ha/atom. As for the distance to the lowest polymorph of the same formula: 0.000 kcal/mol of atoms.